# 1
## AcTb2Dy2Y2 (GGA-PBE)

Data for a relaxed structure of AcTb2Dy2Y2. Values from VASP.

The calculation puts the formation energy at 0.042 eV/atom. The density of states at the Fermi level is 1.51 states/eV per atom.

Cell and atoms, written as Quantum ESPRESSO input:
```
&SYSTEM
  ibrav = 0, nat = 7, ntyp = 4
/
ATOMIC_SPECIES
Ac 227.00 Ac.upf
Tb 158.93 Tb.upf
Dy 162.50 Dy.upf
Y 88.91 Y.upf
ATOMIC_POSITIONS angstrom
Ac 0.0000 0.0000 0.0000
Tb -4.6588 3.4644 -2.2863
Tb -4.5478 -2.3112 -0.1449
Dy -3.4903 1.1090 0.1019
Dy -5.7163 0.0442 -2.5332
Y -2.3250 -0.9600 -2.6268
Y -6.8816 2.1132 0.1956
CELL_PARAMETERS angstrom
-0.0292 0.3778 -5.1102
-3.3071 -4.8211 2.2316
-5.8703 5.5965 0.4473
```

***

# 2
## AcTb6Dy2Y3 (GGA-PBE)

Data for a relaxed structure of AcTb6Dy2Y3. Values from VASP.

The calculation puts the formation energy at 0.030 eV/atom. The density of states at the Fermi level is 1.35 states/eV per atom.

Cell and atoms, written as Quantum ESPRESSO input:
```
&SYSTEM
  ibrav = 0, nat = 12, ntyp = 4
/
ATOMIC_SPECIES
Ac 227.00 Ac.upf
Tb 158.93 Tb.upf
Dy 162.50 Dy.upf
Y 88.91 Y.upf
ATOMIC_POSITIONS angstrom
Ac 0.0000 0.0000 0.0000
Tb -0.6023 4.2316 8.4584
Tb -2.9255 0.5090 4.1476
Tb 0.3331 -0.8399 3.5277
Tb 0.1956 0.8315 9.4384
Tb 2.6564 2.8827 7.8385
Tb -0.4647 2.5602 2.5477
Dy -2.4914 -2.0401 1.6027
Dy -3.2820 1.3293 0.6316
Y 0.6553 -1.6700 6.9632
Y -0.9244 5.0617 5.0229
Y -0.1346 1.6959 5.9930
CELL_PARAMETERS angstrom
-4.0732 4.7007 -0.3402
-1.7002 -5.4115 2.5745
5.5043 4.1025 9.7518
```

***

# 3
## AcTbDyY (GGA-PBE)

Data for a relaxed structure of AcTbDyY. Values from VASP.

The calculation puts the formation energy at 0.062 eV/atom. The value obtained for the excess energy over the best structure of this formula in the dataset is 0.000 eV/f.u. The density of states at the Fermi level is 1.41 states/eV per atom.

Cell and atoms, written as Quantum ESPRESSO input:
```
&SYSTEM
  ibrav = 0, nat = 4, ntyp = 4
/
ATOMIC_SPECIES
Ac 227.00 Ac.upf
Tb 158.93 Tb.upf
Dy 162.50 Dy.upf
Y 88.91 Y.upf
ATOMIC_POSITIONS angstrom
Ac 2.1965 0.8310 4.3710
Tb 0.3522 -0.2380 7.4582
Dy -1.4943 0.8267 10.2652
Y -1.4945 2.9654 1.2511
CELL_PARAMETERS angstrom
3.6925 0.0001 -0.0006
-1.8454 3.1977 0.0020
-1.8413 -1.0707 11.8510
```

***

# 4
## AcTb2Dy5Y (GGA-PBE)

Data for a relaxed structure of AcTb2Dy5Y. Values from VASP.

The calculation puts the formation energy at 0.277 eV/atom. The density of states at the Fermi level is 1.30 states/eV per atom.

Cell and atoms, written as Quantum ESPRESSO input:
```
&SYSTEM
  ibrav = 0, nat = 18, ntyp = 4
/
ATOMIC_SPECIES
Ac 227.00 Ac.upf
Tb 158.93 Tb.upf
Dy 162.50 Dy.upf
Y 88.91 Y.upf
ATOMIC_POSITIONS angstrom
Ac 0.0000 0.0000 3.7516
Ac 4.5096 4.5096 3.7516
Tb 1.0163 3.4933 0.0000
Tb 5.5259 1.0163 0.0000
Tb 3.4933 8.0030 0.0000
Tb 8.0030 5.5259 0.0000
Dy 7.1811 2.6715 1.9061
Dy 2.6715 -1.8381 5.5971
Dy -2.6715 1.8381 5.5971
Dy -1.8381 -2.6715 5.5971
Dy 1.8381 2.6715 5.5971
Dy 6.3477 7.1811 1.9061
Dy 2.6715 1.8381 1.9061
Dy 1.8381 6.3477 1.9061
Dy 4.5096 4.5096 0.0000
Dy 0.0000 0.0000 0.0000
Y 0.0000 4.5096 3.7516
Y 4.5096 0.0000 3.7516
CELL_PARAMETERS angstrom
9.0192 0.0000 0.0000
0.0000 9.0192 0.0000
-4.5096 -4.5096 7.5032
```

***

# 5
## Ac2Tb3Dy6Y (GGA-PBE)

Data for a relaxed structure of Ac2Tb3Dy6Y. Values from VASP.

The calculation puts the formation energy at 0.043 eV/atom. The density of states at the Fermi level is 1.26 states/eV per atom.

Cell and atoms, written as Quantum ESPRESSO input:
```
&SYSTEM
  ibrav = 0, nat = 12, ntyp = 4
/
ATOMIC_SPECIES
Ac 227.00 Ac.upf
Tb 158.93 Tb.upf
Dy 162.50 Dy.upf
Y 88.91 Y.upf
ATOMIC_POSITIONS angstrom
Ac 0.0013 3.6372 -0.0094
Ac 3.1498 1.8189 -0.0094
Tb -2.0914 3.6540 5.8708
Tb 4.2102 0.0146 5.8708
Tb 1.0594 1.8343 5.8708
Dy 3.1556 1.8540 8.7214
Dy 2.1134 3.6593 3.0129
Dy -1.0368 1.8146 3.0203
Dy 0.0289 3.6598 8.7214
Dy 0.0054 0.0093 8.7288
Dy 2.0899 0.0088 3.0203
Y 0.0000 0.0000 0.0000
CELL_PARAMETERS angstrom
6.2999 -0.0005 -0.0094
-3.1488 5.4565 -0.0094
-1.0323 -1.7875 11.7605
```

***

# 6
## AcTb6Dy2Y (GGA-PBE)

Data for a relaxed structure of AcTb6Dy2Y. Values from VASP.

The calculation puts the formation energy at 0.125 eV/atom. The density of states at the Fermi level is 1.47 states/eV per atom.

Cell and atoms, written as Quantum ESPRESSO input:
```
&SYSTEM
  ibrav = 0, nat = 20, ntyp = 4
/
ATOMIC_SPECIES
Ac 227.00 Ac.upf
Tb 158.93 Tb.upf
Dy 162.50 Dy.upf
Y 88.91 Y.upf
ATOMIC_POSITIONS angstrom
Ac 3.2509 7.8334 -2.3033
Ac 7.8263 -3.5964 6.7003
Tb 1.3641 -0.7976 6.0281
Tb 5.1378 -0.8122 6.0129
Tb 9.7132 5.0346 -1.6311
Tb 5.9395 5.0491 -1.6160
Tb 4.2889 6.7984 1.0757
Tb 2.2130 4.4183 -1.3943
Tb 6.7884 -2.5615 3.3212
Tb 8.8643 -0.1813 5.7913
Tb 2.2398 4.7353 2.4924
Tb 4.2621 2.9261 0.6148
Tb 8.8375 -0.4984 1.9046
Tb 6.8152 1.3108 3.7822
Dy 5.5709 4.3515 3.2497
Dy 0.9310 2.1551 0.9704
Dy 5.5064 -0.1145 1.1473
Dy 10.1463 2.0819 3.4266
Y 3.2509 1.6417 3.6629
Y 7.8263 2.5952 0.7340
CELL_PARAMETERS angstrom
9.1508 -2.0087 -2.0846
0.9633 8.6454 -2.0808
0.9633 -2.3997 8.5623
```

***

# 7
## AcTbDyZn (GGA-PBE)

Data for a relaxed structure of AcTbDyZn. Values from VASP.

The calculation puts the formation energy at 0.185 eV/atom. The density of states at the Fermi level is 1.54 states/eV per atom.

Cell and atoms, written as Quantum ESPRESSO input:
```
&SYSTEM
  ibrav = 0, nat = 4, ntyp = 4
/
ATOMIC_SPECIES
Ac 227.00 Ac.upf
Tb 158.93 Tb.upf
Zn 65.41 Zn.upf
Dy 162.50 Dy.upf
ATOMIC_POSITIONS angstrom
Ac -0.9547 -6.5178 1.5586
Tb -1.4320 -9.7766 2.3379
Zn 0.0000 0.0000 0.0000
Dy -0.4773 -3.2589 0.7793
CELL_PARAMETERS angstrom
-1.8664 -3.4912 3.8569
-2.5415 -4.6733 -1.4998
2.4985 -4.8711 0.7601
```

***

# 8
## AcDy2Tc (GGA-PBE)

Data for a relaxed structure of AcDy2Tc. Values from VASP.

The calculation puts the formation energy at 0.287 eV/atom. The value obtained for the excess energy over the best structure of this formula in the dataset is 0.928 eV/f.u. The density of states at the Fermi level is 1.11 states/eV per atom.

Cell and atoms, written as Quantum ESPRESSO input:
```
&SYSTEM
  ibrav = 0, nat = 4, ntyp = 3
/
ATOMIC_SPECIES
Ac 227.00 Ac.upf
Tc 98.00 Tc.upf
Dy 162.50 Dy.upf
ATOMIC_POSITIONS angstrom
Ac 0.0000 0.0000 0.0000
Tc 3.0927 -0.5954 6.1770
Dy 5.5651 -1.5828 5.2175
Dy 0.6203 0.3920 7.1366
CELL_PARAMETERS angstrom
-0.6245 2.3616 2.6044
-1.8469 -0.9809 2.8943
8.6569 -2.5715 6.8553
```

***

no.,M_tot (μB/cell)
1,0.0
2,0.0
3,0.0
4,0.0
5,0.0
6,0.0
7,0.0
8,0.0